{"formula": "SmTl2Cr3F12", "functional": "PBE with a Hubbard U", "state": "optimized geometry", "spacegroup": "R-3m", "e_tot_ev_per_atom": -5.76, "cell": [[3.965, 2.289, 5.313], [-3.965, 2.289, 5.313], [0.000, -4.579, 5.313]], "species": ["Sm", "Tl", "Tl", "Cr", "Cr", "Cr", "F", "F", "F", "F", "F", "F", "F", "F", "F", "F", "F", "F"], "fractional_positions": [[0.000, 0.000, 0.000], [0.385, 0.385, 0.385], [0.615, 0.615, 0.615], [0.000, 0.000, 0.500], [0.000, 0.500, 0.000], [0.500, 0.000, 0.000], [0.087, 0.744, 0.744], [0.131, 0.131, 0.612], [0.131, 0.612, 0.131], [0.256, 0.256, 0.913], [0.256, 0.913, 0.256], [0.388, 0.869, 0.869], [0.612, 0.131, 0.131], [0.744, 0.087, 0.744], [0.744, 0.744, 0.087], [0.869, 0.388, 0.869], [0.869, 0.869, 0.388], [0.913, 0.256, 0.256]]}